# LaNdP

A geometry-optimized LaNdP structure (GGA-PBE, Alexandria).

Cell lengths 5.8166, 6.8437, 6.8437 Å; angles 129.55, 90.00, 90.00 degrees
Last column: nearest neighbours and their distance in Å.
Atoms (fractional coordinates):
La 0.2500 0.7067 0.2933  4 P 2.92-3.10
La 0.7500 0.2933 0.7067  4 P 2.92-3.10
Nd 0.5000 0.0000 0.0000  2 Nd 2.91, 2 P 2.94
Nd 0.0000 0.0000 0.0000  2 Nd 2.91, 2 P 2.94
P 0.2500 0.2061 0.7939  4 La 2.92-3.10, 2 Nd 2.94
P 0.7500 0.7939 0.2061  4 La 2.92-3.10, 2 Nd 2.94

Output
As for the symmetry: No. 63. The value obtained for the formation enthalpy at 0 K is -0.5614 eV per atom.

***

# ZrPtAu2

A geometry-optimized ZrPtAu2 structure (GGA-PBE, Alexandria).

Cell lengths 5.1382, 5.1382, 3.0447 Å; angles 90.00, 90.00, 114.39 degrees
Last column: nearest neighbours and their distance in Å.
Atoms (fractional coordinates):
Au 0.0000 0.0000 0.0000  4 Au 2.78-3.04, 4 Zr 2.99, 4 Pt 2.99
Au 0.5000 0.5000 0.0000  4 Au 2.78-3.04, 4 Pt 2.99, 4 Zr 2.99
Pt 0.5000 0.0000 0.5000  2 Zr 2.78, 8 Au 2.99, 2 Pt 3.04
Zr 0.0000 0.5000 0.5000  2 Pt 2.78, 8 Au 2.99, 2 Zr 3.04

Output
As for the symmetry: No. 65. The value obtained for the formation enthalpy at 0 K is -0.3112 eV per atom.

***

# AcMg2Ni2

A geometry-optimized AcMg2Ni2 structure (GGA-PBE, Alexandria).

Cell lengths 4.1607, 4.1607, 6.6504 Å; angles 108.23, 108.23, 90.00 degrees
Last column: nearest neighbours and their distance in Å.
Atoms (fractional coordinates):
Ac 0.0000 0.0000 0.0000  8 Ni 3.19
Mg 0.7500 0.2500 0.5000  4 Ni 2.72, 4 Mg 2.94
Mg 0.2500 0.7500 0.5000  4 Ni 2.72, 4 Mg 2.94
Ni 0.6025 0.6025 0.2051  1 Ni 2.45, 4 Mg 2.72
Ni 0.3975 0.3975 0.7949  1 Ni 2.45, 4 Mg 2.72

Output
As for the symmetry: No. 139. The polymorph energy (0 for the lowest one) comes out at 0.008 eV/atom. The value obtained for the formation enthalpy at 0 K is -0.2207 eV per atom.

***

# Mg2BeBi

A geometry-optimized Mg2BeBi structure (GGA-PBE, Alexandria).

Cell lengths 4.9938, 4.9938, 4.9938 Å; angles 60.00, 60.00, 60.00 degrees
Last column: nearest neighbours and their distance in Å.
Atoms (fractional coordinates):
Be 0.0000 0.0000 0.0000  8 Mg 3.06
Mg 0.2500 0.2500 0.2500  4 Bi 3.06, 4 Be 3.06
Mg 0.7500 0.7500 0.7500  4 Bi 3.06, 4 Be 3.06
Bi 0.5000 0.5000 0.5000  8 Mg 3.06

Output
As for the symmetry: No. 225. The polymorph energy (0 for the lowest one) comes out at 0.000 eV/atom. The value obtained for the formation enthalpy at 0 K is 0.3424 eV per atom.

***

# TlMoPb2

A geometry-optimized TlMoPb2 structure (GGA-PBE, Alexandria).

Cell lengths 4.7766, 4.6684, 4.6684 Å; angles 90.00, 90.00, 90.00 degrees
Last column: nearest neighbours and their distance in Å.
Atoms (fractional coordinates):
Mo 0.5000 0.0000 0.5000  4 Tl 3.30, 8 Pb 3.34
Pb 0.0000 0.0000 0.0000  4 Pb 3.30, 4 Tl 3.34, 4 Mo 3.34
Pb 0.0000 0.5000 0.5000  4 Pb 3.30, 4 Tl 3.34, 4 Mo 3.34
Tl 0.5000 0.5000 0.0000  4 Mo 3.30, 8 Pb 3.34

Output
As for the symmetry: No. 123. The polymorph energy (0 for the lowest one) comes out at 0.303 eV/atom. The value obtained for the formation enthalpy at 0 K is 0.7654 eV per atom.

***

# AsPbBr

A geometry-optimized AsPbBr structure (GGA-PBE, Alexandria).

Cell lengths 5.0914, 5.0914, 5.0914 Å; angles 60.00, 60.00, 60.00 degrees
Last column: nearest neighbours and their distance in Å.
Atoms (fractional coordinates):
Pb 0.7500 0.7500 0.7500  4 Br 3.12, 4 As 3.12
As 0.0000 0.0000 0.0000  4 Pb 3.12
Br 0.5000 0.5000 0.5000  4 Pb 3.12

Output
As for the symmetry: No. 216. The value obtained for the formation energy from raw total energies is 0.1272 eV per atom. The polymorph energy (0 for the lowest one) comes out at 0.539 eV/atom.